Entry from the Alexandria database: TaTlOs after structural relaxation (PBE-GGA).

The value obtained for the formation enthalpy at 0 K is 58.8 kJ/mol of atoms. The value obtained for the raw total energy is -7.87 eV/atom. As for the total magnetic moment: 0.0 μB/cell.

The structure belongs to space group F-43m (No. 216); the cell edges are 6.324, 6.324 and 6.324 Å and the angles 90.00°, 90.00° and 90.00°. The asymmetric unit holds Ta at (0.000, 0.000, 0.000), Tl at (0.000, 0.000, 0.500) and Os at (0.250, 0.250, 0.250).



Entry from the Alexandria database: TcSbSeI2 after structural relaxation (PBE-GGA).

The value obtained for the raw total energy is -2.97 eV/atom. As for the total magnetic moment: 4.6 μB/cell. As for the raw formation energy: 1247 meV/atom.

The structure belongs to space group P4/mmm (No. 123); the cell edges are 5.700, 5.700 and 5.542 Å and the angles 90.00°, 90.00° and 90.00°. The asymmetric unit holds Tc at (0.000, 0.000, 0.000), Sb at (0.500, 0.500, 0.000), Se at (0.500, 0.500, 0.500) and I at (0.000, 0.500, 0.500).



Entry from the Alexandria database: PrCd6Hg8 after structural relaxation (PBE-GGA).

The value obtained for the formation enthalpy at 0 K is -3.8 kJ/mol of atoms. The value obtained for the raw total energy is -0.89 eV/atom. As for the total magnetic moment: 0.0 μB/cell.

The structure belongs to space group R-3 (No. 148, hexagonal axes); the cell edges are 8.8882, 8.8882 and 17.5225 Å and the angles 90.00°, 90.00° and 120.00°. The asymmetric unit holds Pr at (0.0000, 0.0000, 0.0000), Cd at (0.0162, 0.2591, 0.6982), Hg at (0.0000, 0.0000, 0.4167) and Hg at (0.0396, 0.7788, 0.1365).



Entry from the Alexandria database: ScBe2 after structural relaxation (PBE-GGA).

The value obtained for the formation enthalpy at 0 K is 30.0 kJ/mol of atoms. The value obtained for the raw total energy is -4.28 eV/atom. As for the total magnetic moment: 0.0 μB/cell.

The structure belongs to space group Immm (No. 71); the cell edges are 2.744, 4.024 and 7.411 Å and the angles 90.00°, 90.00° and 90.00°. The asymmetric unit holds Sc at (0.000, 0.000, 0.000) and Be at (0.000, 0.000, 0.343).



Entry from the Alexandria database: LiPr2DyTe4 after structural relaxation (PBE-GGA).

The value obtained for the raw total energy is -4.94 eV/atom. As for the total magnetic moment: 0.0 μB/cell. As for the raw formation energy: -1362 meV/atom.

The structure belongs to space group P2/m (No. 10); the cell edges are 7.650, 4.411 and 7.705 Å and the angles 90.00°, 109.17° and 90.00°. The asymmetric unit holds Li at (0.000, 0.000, 0.000), Pr at (0.000, 0.500, 0.500), Pr at (0.500, 0.000, 0.500), Dy at (0.500, 0.500, 0.000), Te at (0.239, 0.500, 0.230) and Te at (0.250, 0.000, 0.768).



Entry from the Alexandria database: TbDyNi after structural relaxation (PBE-GGA).

The value obtained for the formation enthalpy at 0 K is -12.9 kJ/mol of atoms. The value obtained for the raw total energy is -5.14 eV/atom. As for the total magnetic moment: 0.0 μB/cell.

The structure belongs to space group Cm (No. 8); the cell edges are 8.779, 6.791 and 5.072 Å and the angles 90.00°, 95.41° and 90.00°. The asymmetric unit holds Tb at (0.000, 0.236, 0.000), Dy at (0.181, 0.500, 0.567), Dy at (0.274, 0.000, 0.472), Ni at (0.250, 0.500, 0.094) and Ni at (0.479, 0.500, 0.486).



> Look up the raw total energy of the second one.

-2.97 eV/atom



Copy entry 4 word for word.
Entry from the Alexandria database: ScBe2 after structural relaxation (PBE-GGA).

The value obtained for the formation enthalpy at 0 K is 30.0 kJ/mol of atoms. The value obtained for the raw total energy is -4.28 eV/atom. As for the total magnetic moment: 0.0 μB/cell.

The structure belongs to space group Immm (No. 71); the cell edges are 2.744, 4.024 and 7.411 Å and the angles 90.00°, 90.00° and 90.00°. The asymmetric unit holds Sc at (0.000, 0.000, 0.000) and Be at (0.000, 0.000, 0.343).



> raw total energy of number 6 (TbDyNi)?

-5.14 eV/atom